VASP calculation (PBE) on crystalline BaSc2Tc at its relaxed geometry.

Structure (extended XYZ):
```
4
Lattice="-1.751 2.972 5.254 1.751 -2.972 5.254 1.751 2.972 -5.254" Properties=species:S:1:pos:R:3 pbc="T T T"
Ba 0.000 0.000 0.000
Sc 1.751 0.000 3.303
Sc 0.000 2.972 1.951
Tc 0.000 0.000 5.254
```

crystal system: orthorhombic
total magnetic moment: 0.000 μB/cell
density of states at the Fermi level: 4.57 states/eV/f.u.
E: -23.66 eV/cell
calculated density: 4.94 g/cm3
ΔE_f: 125 kJ/mol of formula units
V: 27.3 A^3/atom